Pr5Nd5Sm | GGA-PBE | optimized geometry

Computed properties:
The calculated total energy is -0.1705 Ha/atom. The energy above the most stable polymorph in this dataset comes out at 0.00 eV per formula unit. For the density, the calculation gives 6.53 Mg/m³. The total magnetization comes out at 0.0 μB/cell.

Cell: 7.1210 7.1269 8.7592 Å, 76.09 75.93 70.65°
Last column: nearest neighbours and their distance in Å.
Space group P-1 (No. 2)
One atom of each set of equivalent atoms:
Pr 0.0000 0.0000 0.0000 (multiplicity 1)  2 Sm 3.56, 4 Nd 3.63-3.74, 4 Pr 3.65-3.73
Pr 0.1954 0.6929 0.3568 (multiplicity 2)  5 Nd 3.55-3.68, 4 Pr 3.56-3.68
Pr 0.2677 0.3561 0.7246 (multiplicity 2)  1 Sm 3.35, 4 Nd 3.42-3.72, 4 Pr 3.56-3.73
Nd 0.1464 0.2282 0.2788 (multiplicity 2)  1 Sm 3.34, 5 Pr 3.42-3.74, 2 Nd 3.60-3.69
Nd 0.3554 0.8540 0.6439 (multiplicity 2)  5 Pr 3.55-3.91, 5 Nd 3.57-3.89, 1 Sm 3.96
Nd 0.5000 0.5000 0.0000 (multiplicity 1)  2 Sm 3.56, 4 Pr 3.63-3.72, 4 Nd 3.63-3.74
Sm 0.5000 0.0000 0.0000 (multiplicity 1)  4 Nd 3.34-3.56, 4 Pr 3.35-3.56

***

Pr5Nd2Sm2 | GGA-PBE | optimized geometry

Computed properties:
The calculated total energy is -0.1681 Ha/atom. The energy above the most stable polymorph in this dataset comes out at 0.53 eV per formula unit. For the density, the calculation gives 6.68 Mg/m³. The total magnetization comes out at 0.0 μB/cell.

Cell: 15.2128 12.1129 6.9810 Å, 90.00 90.00 90.00°
Last column: nearest neighbours and their distance in Å.
Space group Ima2 (No. 46)
One atom of each set of equivalent atoms:
Pr 0.0533 0.2495 0.0000 (multiplicity 8)  4 Pr 3.22-3.49, 1 Sm 3.38, 1 Nd 3.43
Pr 0.1430 0.7334 0.3306 (multiplicity 8)  4 Pr 3.22-3.51, 2 Nd 3.43-3.58, 1 Sm 3.53
Pr 0.2500 0.2392 0.3012 (multiplicity 4)  6 Pr 3.30-3.66, 2 Sm 3.49-3.69, 2 Nd 3.65
Nd 0.1260 0.5039 0.6527 (multiplicity 8)  4 Pr 3.43-3.65, 2 Sm 3.74-3.82, 2 Nd 3.77-3.83
Sm 0.0000 0.0000 0.6789 (multiplicity 4)  4 Pr 3.38-3.72
Sm 0.2500 0.5063 0.1154 (multiplicity 4)  4 Pr 3.49-3.69, 2 Nd 3.74, 2 Sm 3.83

***

Pr5Nd5Sm2 | GGA-PBE | optimized geometry

Computed properties:
The calculated total energy is -0.1746 Ha/atom. For the density, the calculation gives 6.73 Mg/m³. The total magnetization comes out at 0.0 μB/cell.

Cell: 15.6510 5.2132 11.6686 Å, 90.00 116.53 90.00°
Last column: nearest neighbours and their distance in Å.
Space group C2/m (No. 12)
One atom of each set of equivalent atoms:
Pr 0.0000 0.0000 0.0000 (multiplicity 2)  2 Sm 3.68, 8 Nd 3.68-3.69, 2 Pr 3.70
Pr 0.1656 0.0000 0.4995 (multiplicity 4)  5 Nd 3.68-3.72, 2 Sm 3.68-3.69, 5 Pr 3.69-3.71
Pr 0.2492 0.5000 0.7501 (multiplicity 4)  6 Nd 3.68-3.70, 2 Sm 3.68, 4 Pr 3.69-3.70
Nd 0.0000 0.5000 0.5000 (multiplicity 2)  6 Pr 3.68, 2 Nd 3.68, 4 Sm 3.69
Nd 0.0824 0.5000 0.2495 (multiplicity 4)  2 Sm 3.68, 3 Nd 3.68-3.70, 7 Pr 3.68-3.72
Nd 0.1669 0.5000 0.9999 (multiplicity 4)  5 Pr 3.68-3.69, 4 Nd 3.68-3.70, 3 Sm 3.68-3.69
Sm 0.0833 0.0000 0.7506 (multiplicity 4)  7 Nd 3.68-3.69, 5 Pr 3.68-3.69

***

Pr6NdSm | GGA-PBE | optimized geometry

Computed properties:
The calculated total energy is -0.1749 Ha/atom. For the density, the calculation gives 6.62 Mg/m³. The total magnetization comes out at 0.0 μB/cell.

Cell: 5.2298 5.2298 10.4607 Å, 90.00 90.00 90.00°
Last column: nearest neighbours and their distance in Å.
Space group P4/mmm (No. 123)
One atom of each set of equivalent atoms:
Pr 0.0000 0.0000 0.0000 (multiplicity 1)  8 Pr 3.69, 4 Sm 3.70
Pr 0.0000 0.0000 0.5000 (multiplicity 1)  4 Nd 3.70, 8 Pr 3.71
Pr 0.0000 0.5000 0.2491 (multiplicity 4)  8 Pr 3.69-3.71, 2 Sm 3.69, 2 Nd 3.71
Nd 0.5000 0.5000 0.5000 (multiplicity 1)  12 Pr 3.70-3.71
Sm 0.5000 0.5000 0.0000 (multiplicity 1)  12 Pr 3.69-3.70

***

Pr8Nd4Sm3 | GGA-PBE | optimized geometry

Computed properties:
The calculated total energy is -0.1643 Ha/atom. The energy above the most stable polymorph in this dataset comes out at 2.57 eV per formula unit. For the density, the calculation gives 6.63 Mg/m³. The total magnetization comes out at 0.4 μB/cell.

Cell: 14.2555 12.4416 6.9749 Å, 90.00 119.20 90.00°
Last column: nearest neighbours and their distance in Å.
Space group C2/m (No. 12)
One atom of each set of equivalent atoms:
Pr 0.0000 0.2024 0.0000 (multiplicity 4)  4 Pr 3.54-3.56, 3 Nd 3.61-3.70, 2 Sm 3.62
Pr 0.0000 0.2518 0.5000 (multiplicity 4)  1 Nd 3.09, 1 Sm 3.13
Pr 0.2024 0.0000 0.2014 (multiplicity 4)  4 Pr 3.53-3.56, 3 Nd 3.61-3.70, 2 Sm 3.62
Pr 0.2481 0.5000 0.2514 (multiplicity 4)  1 Nd 3.09, 1 Sm 3.13
Nd 0.0000 0.5000 0.0000 (multiplicity 2)  2 Pr 3.09
Nd 0.0000 0.5000 0.5000 (multiplicity 2)  2 Pr 3.09
Nd 0.2500 0.2500 0.0000 (multiplicity 4)  2 Sm 3.49, 8 Pr 3.57-3.61
Sm 0.0000 0.0000 0.5000 (multiplicity 2)  4 Pr 3.13
Sm 0.2500 0.2500 0.5000 (multiplicity 4)  2 Nd 3.49, 8 Pr 3.55-3.62

***

Pr8Nd3Sm | GGA-PBE | optimized geometry

Computed properties:
The calculated total energy is -0.1645 Ha/atom. For the density, the calculation gives 6.20 Mg/m³. The total magnetization comes out at 0.0 μB/cell.

Cell: 6.7097 11.5307 11.8466 Å, 90.00 90.00 90.00°
Last column: nearest neighbours and their distance in Å.
Space group Immm (No. 71)
One atom of each set of equivalent atoms:
Pr 0.0000 0.1644 0.2503 (multiplicity 8)  1 Sm 3.51, 4 Nd 3.52-3.87, 7 Pr 3.54-3.89
Pr 0.2455 0.2549 0.0000 (multiplicity 8)  6 Pr 3.30-3.55, 1 Sm 3.30, 1 Nd 3.37
Nd 0.0000 0.0000 0.0000 (multiplicity 2)  8 Pr 3.37-3.52
Nd 0.0000 0.5000 0.2466 (multiplicity 4)  6 Pr 3.85-3.87
Sm 0.0000 0.0000 0.5000 (multiplicity 2)  8 Pr 3.30-3.51

***

Pr8Nd4Sm3 | GGA-PBE | optimized geometry

Computed properties:
The calculated total energy is -0.1706 Ha/atom. The energy above the most stable polymorph in this dataset comes out at 0.00 eV per formula unit. For the density, the calculation gives 6.61 Mg/m³. The total magnetization comes out at 0.0 μB/cell.

Cell: 7.1555 7.1555 36.6152 Å, 90.00 90.00 120.00°
Last column: nearest neighbours and their distance in Å.
Space group R-3m (No. 166, hexagonal axes)
One atom of each set of equivalent atoms:
Pr 0.0000 0.0000 0.2463 (multiplicity 6)  1 Nd 3.28, 3 Sm 3.57, 6 Pr 3.58
Pr 0.0016 0.5008 0.7505 (multiplicity 18)  6 Pr 3.56-3.59, 3 Nd 3.63-3.69, 2 Sm 3.67
Nd 0.0000 0.0000 0.0000 (multiplicity 3)  6 Pr 3.69, 6 Nd 4.13
Nd 0.0000 0.0000 0.3358 (multiplicity 6)  4 Pr 3.28-3.63
Nd 0.0000 0.0000 0.5000 (multiplicity 3)  6 Sm 3.58, 6 Pr 3.68
Sm 0.0000 0.5000 0.5000 (multiplicity 9)  6 Pr 3.57-3.67, 2 Nd 3.58, 4 Sm 3.58

***

Pr6Nd4Sm | GGA-PBE | optimized geometry

Computed properties:
The calculated total energy is -0.1652 Ha/atom. For the density, the calculation gives 6.47 Mg/m³. The total magnetization comes out at 0.0 μB/cell.

Cell: 6.8286 6.8286 17.3187 Å, 90.00 90.00 90.00°
Last column: nearest neighbours and their distance in Å.
Space group I-42m (No. 121)
One atom of each set of equivalent atoms:
Pr 0.0000 0.5000 0.0000 (multiplicity 4)  4 Nd 3.31, 2 Sm 3.41
Pr 0.1900 0.1900 0.1774 (multiplicity 8)  5 Nd 3.44-3.74, 1 Sm 3.58, 1 Pr 3.67
Nd 0.1764 0.1764 0.3757 (multiplicity 8)  5 Pr 3.31-3.57, 1 Nd 3.41
Sm 0.0000 0.0000 0.0000 (multiplicity 2)  8 Pr 3.41-3.58, 4 Nd 3.79

***

PrNd3Sm2 | GGA-PBE | optimized geometry

Computed properties:
The calculated total energy is -0.1634 Ha/atom. The energy above the most stable polymorph in this dataset comes out at 0.00 eV per formula unit. For the density, the calculation gives 6.82 Mg/m³. The total magnetization comes out at 0.0 μB/cell.

Cell: 3.5266 6.0867 19.8448 Å, 90.00 90.00 90.00°
Last column: nearest neighbours and their distance in Å.
Space group Immm (No. 71)
One atom of each set of equivalent atoms:
Pr 0.0000 0.0000 0.0000 (multiplicity 2)  2 Nd 3.04
Nd 0.0000 0.0000 0.1900 (multiplicity 4)  5 Sm 3.39-3.66, 2 Nd 3.53, 1 Pr 3.77
Nd 0.0000 0.5000 0.0000 (multiplicity 2)  2 Pr 3.04, 4 Sm 3.27
Sm 0.0000 0.0000 0.3610 (multiplicity 4)  7 Nd 3.27-3.66, 2 Sm 3.53

***

Pr11Nd4Sm9 | GGA-PBE | optimized geometry

Computed properties:
The calculated total energy is -0.1725 Ha/atom. For the density, the calculation gives 6.78 Mg/m³. The total magnetization comes out at 0.0 μB/cell.

Cell: 17.3315 26.2070 3.7515 Å, 90.00 90.00 90.00°
Last column: nearest neighbours and their distance in Å.
Space group Cmmm (No. 65)
One atom of each set of equivalent atoms:
Pr 0.0000 0.0000 0.0000 (multiplicity 2)  8 Sm 3.59, 2 Pr 3.75
Pr 0.0000 0.1600 0.0000 (multiplicity 4)  5 Pr 3.75-4.19, 8 Sm 3.78-3.79
Pr 0.0000 0.3673 0.0000 (multiplicity 4)  4 Nd 3.40, 4 Sm 3.71, 2 Pr 3.75
Pr 0.2100 0.5000 0.0000 (multiplicity 4)  4 Nd 3.38, 2 Pr 3.75, 4 Sm 3.76
Pr 0.2237 0.1810 0.0000 (multiplicity 8)  2 Nd 3.49, 6 Sm 3.59-3.83, 3 Pr 3.73-3.75
Nd 0.1568 0.3986 0.5000 (multiplicity 8)  6 Pr 3.38-3.49, 2 Sm 3.61-3.63, 2 Nd 3.75
Sm 0.0000 0.5000 0.5000 (multiplicity 2)  2 Sm 3.75, 4 Nd 3.80, 8 Pr 3.95-4.09
Sm 0.1016 0.2656 0.5000 (multiplicity 8)  3 Sm 3.52-3.75, 8 Pr 3.59-3.83, 1 Nd 3.61
Sm 0.1379 0.0733 0.5000 (multiplicity 8)  8 Pr 3.59-3.79, 1 Nd 3.63, 3 Sm 3.75-3.84

***

Pr2Nd5Sm3 | GGA-PBE | optimized geometry

Computed properties:
The calculated total energy is -0.1683 Ha/atom. The energy above the most stable polymorph in this dataset comes out at 0.00 eV per formula unit. For the density, the calculation gives 6.79 Mg/m³. The total magnetization comes out at 0.0 μB/cell.

Cell: 11.0638 15.7827 9.8313 Å, 90.00 124.07 90.00°
Last column: nearest neighbours and their distance in Å.
Space group C2/c (No. 15)
One atom of each set of equivalent atoms:
Pr 0.1447 0.1247 0.0522 (multiplicity 8)  3 Sm 3.26-3.53, 5 Nd 3.39-3.65
Nd 0.0000 0.2290 0.2500 (multiplicity 4)  5 Sm 3.28-3.57, 2 Pr 3.54, 2 Nd 3.62
Nd 0.0000 0.2726 0.7500 (multiplicity 4)  1 Nd 3.14, 2 Pr 3.39
Nd 0.0000 0.4718 0.7500 (multiplicity 4)  1 Nd 3.14, 2 Sm 3.41
Nd 0.2362 0.3777 0.2249 (multiplicity 8)  3 Sm 3.59-3.74, 3 Nd 3.62-3.66, 2 Pr 3.63-3.81
Sm 0.0000 0.0213 0.2500 (multiplicity 4)  3 Nd 3.28-3.59, 4 Pr 3.37-3.53, 2 Sm 3.54
Sm 0.1566 0.3768 0.5479 (multiplicity 8)  1 Pr 3.26, 5 Nd 3.37-3.61, 1 Sm 3.54

***

Pr2Nd9Sm | GGA-PBE | optimized geometry

Computed properties:
The calculated total energy is -0.1747 Ha/atom. The energy above the most stable polymorph in this dataset comes out at 0.00 eV per formula unit. For the density, the calculation gives 6.79 Mg/m³. The total magnetization comes out at 0.0 μB/cell.

Cell: 5.2033 5.2033 15.6188 Å, 90.00 90.00 90.00°
Last column: nearest neighbours and their distance in Å.
Space group P4/mmm (No. 123)
One atom of each set of equivalent atoms:
Pr 0.0000 0.0000 0.1672 (multiplicity 2)  12 Nd 3.68-3.69
Nd 0.0000 0.5000 0.0000 (multiplicity 2)  8 Nd 3.68-3.69, 4 Pr 3.69
Nd 0.0000 0.5000 0.3345 (multiplicity 4)  8 Nd 3.67-3.69, 2 Sm 3.67, 2 Pr 3.69
Nd 0.5000 0.5000 0.1673 (multiplicity 2)  4 Pr 3.68, 8 Nd 3.69
Nd 0.5000 0.5000 0.5000 (multiplicity 1)  8 Nd 3.67, 4 Sm 3.68
Sm 0.0000 0.0000 0.5000 (multiplicity 1)  12 Nd 3.67-3.68

***

ΔH_f (0 K), respectively: 0.130; 0.189; 0.013; 0.012; 0.294; 0.294; 0.122; 0.273; 0.308; 0.062; 0.175; 0.013 eV/atom.